## P
A plane-wave DFT calculation with GGA-PBE was carried out for YAl2W after structural relaxation.

Output
As for the space group: I-42d (122).

The structure in POSCAR format:
```
YAl2W
1.0
-2.168 2.168 9.470
2.168 -2.168 9.470
2.168 2.168 -9.470
Y Al W
2 4 2
direct
0.000 0.000 0.000
0.750 0.250 0.500
0.219 0.625 0.094
0.375 0.469 0.594
0.531 0.125 0.906
0.875 0.781 0.406
0.250 0.750 0.500
0.500 0.500 0.000
```

---

## Q
A plane-wave DFT calculation with GGA-PBE was carried out for YAl2W after structural relaxation.

Output
As for the space group: Pmm2 (25).

The structure in POSCAR format:
```
YAl2W
1.0
3.041 0.000 0.000
0.000 3.646 0.000
0.000 0.000 7.032
Y Al W
1 2 1
direct
0.000 0.000 0.000
0.000 0.000 0.531
0.500 0.500 0.320
0.500 0.500 0.712
```

---

Which of them is the least stable? Correct choice: P.

---

## P
A plane-wave DFT calculation with GGA-PBE was carried out for YAl2W after structural relaxation.

Output
As for the space group: Fm-3m (225).

The structure in POSCAR format:
```
YAl2W
1.0
0.000 3.325 3.325
3.325 0.000 3.325
3.325 3.325 0.000
Y Al W
1 2 1
direct
0.000 0.000 0.000
0.250 0.250 0.250
0.750 0.750 0.750
0.500 0.500 0.500
```

---

## Q
A plane-wave DFT calculation with GGA-PBE was carried out for YAl2W after structural relaxation.

Output
As for the space group: P2/m (10).

The structure in POSCAR format:
```
YAl2W
1.0
2.888 0.000 0.000
0.000 4.088 0.000
-0.035 0.000 6.337
Y Al W
1 2 1
direct
0.000 0.000 0.000
0.499 0.500 0.704
0.501 0.500 0.296
0.000 0.000 0.500
```

---

## R
A plane-wave DFT calculation with GGA-PBE was carried out for YAl2W after structural relaxation.

Output
As for the space group: R-3m (166).

The structure in POSCAR format:
```
YAl2W
1.0
1.495 0.863 9.807
-1.495 0.863 9.807
0.000 -1.727 9.807
Y Al W
1 2 1
direct
0.000 0.000 0.000
0.241 0.241 0.241
0.759 0.759 0.759
0.500 0.500 0.500
```

---

Which of them is the least stable? Correct choice: R.

---

## P
A plane-wave DFT calculation with GGA-PBE was carried out for YAl2W after structural relaxation.

Output
As for the space group: I4/mmm (139).

The structure in POSCAR format:
```
YAl2W
1.0
-2.151 2.151 3.985
2.151 -2.151 3.985
2.151 2.151 -3.985
Y Al W
1 2 1
direct
0.000 0.000 0.000
0.250 0.750 0.500
0.750 0.250 0.500
0.500 0.500 0.000
```

---

## Q
A plane-wave DFT calculation with GGA-PBE was carried out for YAl2W after structural relaxation.

Output
As for the space group: Cmmm (65).

The structure in POSCAR format:
```
YAl2W
1.0
2.990 -4.189 0.000
2.990 4.189 0.000
0.000 0.000 2.940
Y Al W
1 2 1
direct
0.000 0.000 0.000
0.000 0.500 0.500
0.500 0.000 0.500
0.500 0.500 0.000
```

---

Which of them is the least stable? Correct choice: Q.

---

## P
A plane-wave DFT calculation with GGA-PBE was carried out for YAl2W after structural relaxation.

Output
As for the space group: P4/mmm (123).

The structure in POSCAR format:
```
YAl2W
1.0
4.251 0.000 0.000
0.000 4.251 0.000
0.000 0.000 4.159
Y Al W
1 2 1
direct
0.000 0.000 0.000
0.000 0.500 0.500
0.500 0.000 0.500
0.500 0.500 0.000
```

---

## Q
A plane-wave DFT calculation with GGA-PBE was carried out for YAl2W after structural relaxation.

Output
As for the space group: Amm2 (38).

The structure in POSCAR format:
```
YAl2W
1.0
4.306 0.000 0.000
0.000 1.582 5.529
0.000 -1.582 5.529
Y Al W
1 2 1
direct
0.000 0.000 0.000
0.000 0.745 0.745
0.500 0.613 0.613
0.500 0.326 0.326
```

---

Which of them is the least stable? Correct choice: P.

---

## P
A plane-wave DFT calculation with GGA-PBE was carried out for YAl2W after structural relaxation.

Output
As for the space group: C2/m (12).

The structure in POSCAR format:
```
YAl2W
1.0
4.610 -1.494 0.000
4.610 1.494 0.000
-0.786 0.000 5.680
Y Al W
1 2 1
direct
0.000 0.000 0.000
0.239 0.239 0.694
0.761 0.761 0.306
0.500 0.500 0.500
```

---

## Q
A plane-wave DFT calculation with GGA-PBE was carried out for YAl2W after structural relaxation.

Output
As for the space group: P4/mmm (123).

The structure in POSCAR format:
```
YAl2W
1.0
3.420 0.000 0.000
0.000 3.420 0.000
0.000 0.000 6.483
Y Al W
1 2 1
direct
0.000 0.000 0.000
0.500 0.500 0.303
0.500 0.500 0.697
0.000 0.000 0.500
```

---

Which of them is the least stable? Correct choice: P.

---

## P
A plane-wave DFT calculation with GGA-PBE was carried out for YAlW3 after structural relaxation.

Output
As for the space group: Pm-3m (221).

The structure in POSCAR format:
```
YAlW3
1.0
4.819 0.000 0.000
0.000 4.819 0.000
0.000 0.000 4.819
Y Al W
1 1 3
direct
0.000 0.000 0.000
0.500 0.500 0.500
0.000 0.000 0.500
0.000 0.500 0.000
0.500 0.000 0.000
```

---

## Q
A plane-wave DFT calculation with GGA-PBE was carried out for YAlW3 after structural relaxation.

Output
As for the space group: Pm-3m (221).

The structure in POSCAR format:
```
YAlW3
1.0
4.677 0.000 0.000
0.000 4.677 0.000
0.000 0.000 4.677
Y Al W
1 1 3
direct
0.000 0.000 0.000
0.500 0.500 0.500
0.000 0.500 0.500
0.500 0.000 0.500
0.500 0.500 0.000
```

---

Which of them is the least stable? Correct choice: P.

---

## P
A plane-wave DFT calculation with GGA-PBE was carried out for Y3AlW after structural relaxation.

Output
As for the space group: Pm-3m (221).

The structure in POSCAR format:
```
Y3AlW
1.0
5.373 0.000 0.000
0.000 5.373 0.000
0.000 0.000 5.373
Y Al W
3 1 1
direct
0.000 0.000 0.500
0.000 0.500 0.000
0.500 0.000 0.000
0.500 0.500 0.500
0.000 0.000 0.000
```

---

## Q
A plane-wave DFT calculation with GGA-PBE was carried out for Y3AlW after structural relaxation.

Output
As for the space group: Pm-3m (221).

The structure in POSCAR format:
```
Y3AlW
1.0
5.386 0.000 0.000
0.000 5.386 0.000
0.000 0.000 5.386
Y Al W
3 1 1
direct
0.000 0.000 0.500
0.000 0.500 0.000
0.500 0.000 0.000
0.000 0.000 0.000
0.500 0.500 0.500
```

---

Which of them is the least stable? Correct choice: Q.

---

## P
A plane-wave DFT calculation with GGA-PBE was carried out for Al4ZnW after structural relaxation.

Output
As for the space group: F-43m (216).

The structure in POSCAR format:
```
Al4ZnW
1.0
0.000 3.595 3.595
3.595 0.000 3.595
3.595 3.595 0.000
Al Zn W
4 1 1
direct
0.125 0.125 0.125
0.125 0.125 0.626
0.125 0.626 0.125
0.626 0.125 0.125
0.750 0.750 0.750
0.500 0.500 0.500
```

---

## Q
A plane-wave DFT calculation with GGA-PBE was carried out for Al4ZnW after structural relaxation.

Output
As for the space group: Cmc2_1 (36).

The structure in POSCAR format:
```
Al4ZnW
1.0
2.338 -4.337 0.000
2.338 4.337 0.000
0.000 0.000 9.109
Al Zn W
8 2 2
direct
0.004 0.996 0.500
0.164 0.836 0.247
0.326 0.674 0.494
0.492 0.508 0.756
0.508 0.492 0.256
0.674 0.326 0.994
0.836 0.164 0.747
0.996 0.004 0.000
0.335 0.665 0.016
0.665 0.335 0.516
0.166 0.834 0.754
0.834 0.166 0.254
```

---

Which of them is the least stable? Correct choice: P.

---

## P
A plane-wave DFT calculation with GGA-PBE was carried out for AlZn3W after structural relaxation.

Output
As for the space group: Pm-3m (221).

The structure in POSCAR format:
```
AlZn3W
1.0
4.568 0.000 0.000
0.000 4.568 0.000
0.000 0.000 4.568
Al Zn W
1 3 1
direct
0.000 0.000 0.000
0.000 0.000 0.500
0.000 0.500 0.000
0.500 0.000 0.000
0.500 0.500 0.500
```

---

## Q
A plane-wave DFT calculation with GGA-PBE was carried out for AlZn3W after structural relaxation.

Output
As for the space group: Pm-3m (221).

The structure in POSCAR format:
```
AlZn3W
1.0
4.943 0.000 0.000
0.000 4.943 0.000
0.000 0.000 4.943
Al Zn W
1 3 1
direct
0.000 0.000 0.000
0.000 0.500 0.500
0.500 0.000 0.500
0.500 0.500 0.000
0.500 0.500 0.500
```

---

Which of them is the least stable? Correct choice: P.

---

## P
A plane-wave DFT calculation with GGA-PBE was carried out for Al3ZnW after structural relaxation.

Output
As for the space group: Pm-3m (221).

The structure in POSCAR format:
```
Al3ZnW
1.0
4.903 0.000 0.000
0.000 4.903 0.000
0.000 0.000 4.903
Al Zn W
3 1 1
direct
0.000 0.000 0.500
0.000 0.500 0.000
0.500 0.000 0.000
0.500 0.500 0.500
0.000 0.000 0.000
```

---

## Q
A plane-wave DFT calculation with GGA-PBE was carried out for Al3ZnW after structural relaxation.

Output
As for the space group: Pm-3m (221).

The structure in POSCAR format:
```
Al3ZnW
1.0
4.518 0.000 0.000
0.000 4.518 0.000
0.000 0.000 4.518
Al Zn W
3 1 1
direct
0.000 0.000 0.500
0.000 0.500 0.000
0.500 0.000 0.000
0.000 0.000 0.000
0.500 0.500 0.500
```

---

Which of them is the least stable? Correct choice: Q.

---

## P
A plane-wave DFT calculation with GGA-PBE was carried out for Al6Zn2W after structural relaxation.

Output
As for the space group: P6/mmm (191).

The structure in POSCAR format:
```
Al6Zn2W
1.0
5.151 0.000 0.000
-2.575 4.461 0.000
0.000 0.000 7.146
Al Zn W
6 2 1
direct
0.000 0.500 0.189
0.000 0.500 0.811
0.500 0.000 0.189
0.500 0.000 0.811
0.500 0.500 0.189
0.500 0.500 0.811
0.333 0.667 0.500
0.667 0.333 0.500
0.000 0.000 0.000
```

---

## Q
A plane-wave DFT calculation with GGA-PBE was carried out for Al6Zn2W after structural relaxation.

Output
As for the space group: C2/m (12).

The structure in POSCAR format:
```
Al6Zn2W
1.0
4.264 -2.379 0.000
4.264 2.379 0.000
-1.405 0.000 7.013
Al Zn W
6 2 1
direct
0.104 0.104 0.171
0.217 0.217 0.842
0.330 0.330 0.506
0.670 0.670 0.494
0.783 0.783 0.158
0.896 0.896 0.829
0.447 0.447 0.180
0.553 0.553 0.820
0.000 0.000 0.500
```

---

Which of them is the least stable? Correct choice: P.

---

## P
A plane-wave DFT calculation with GGA-PBE was carried out for ZrAlW after structural relaxation.

Output
As for the space group: I4mm (107).

The structure in POSCAR format:
```
ZrAlW
1.0
-1.729 1.729 4.523
1.729 -1.729 4.523
1.729 1.729 -4.523
Zr Al W
1 1 1
direct
0.000 0.000 0.000
0.682 0.682 0.000
0.328 0.328 0.000
```

---

## Q
A plane-wave DFT calculation with GGA-PBE was carried out for ZrAlW after structural relaxation.

Output
As for the space group: I4mm (107).

The structure in POSCAR format:
```
ZrAlW
1.0
-1.415 1.415 6.699
1.415 -1.415 6.699
1.415 1.415 -6.699
Zr Al W
1 1 1
direct
0.000 0.000 0.000
0.672 0.672 0.000
0.319 0.319 0.000
```

---

Which of them is the least stable? Correct choice: Q.

---

## P
A plane-wave DFT calculation with GGA-PBE was carried out for ZrAlW3 after structural relaxation.

Output
As for the space group: Pm-3m (221).

The structure in POSCAR format:
```
ZrAlW3
1.0
4.591 0.000 0.000
0.000 4.591 0.000
0.000 0.000 4.591
Zr Al W
1 1 3
direct
0.000 0.000 0.000
0.500 0.500 0.500
0.000 0.500 0.500
0.500 0.000 0.500
0.500 0.500 0.000
```

---

## Q
A plane-wave DFT calculation with GGA-PBE was carried out for ZrAlW3 after structural relaxation.

Output
As for the space group: Pm-3m (221).

The structure in POSCAR format:
```
ZrAlW3
1.0
4.803 0.000 0.000
0.000 4.803 0.000
0.000 0.000 4.803
Zr Al W
1 1 3
direct
0.000 0.000 0.000
0.500 0.500 0.500
0.000 0.000 0.500
0.000 0.500 0.000
0.500 0.000 0.000
```

---

Which of them is the least stable? Correct choice: Q.